Entry 1:
The following is a DFT calculation (PBEsol) of a relaxed structure of LaB2Ru3.

Computed properties:
Energy relative to the elements: -2.53 eV per formula unit
Energy: -8.7370 eV per atom
SG: P6/mmm
Total moment: 0.0 μB/f.u.

a b c (Å): 5.5401 5.5401 2.9952
angles (deg): 90.00 90.00 120.00
Closest atoms and distances in Å follow each position.
Positions (direct):
La  0.0000  0.0000  0.0000  2 La 3.00, 12 Ru 3.15, 6 B 3.20
B  0.3333  0.6667  0.0000  6 Ru 2.19
B  0.6667  0.3333  0.0000  6 Ru 2.19
Ru  0.0000  0.5000  0.5000  4 B 2.19
Ru  0.5000  0.0000  0.5000  4 B 2.19
Ru  0.5000  0.5000  0.5000  4 B 2.19

---

Entry 2:
The following is a DFT calculation (PBEsol) of a relaxed structure of La2BS.

Computed properties:
Energy: -6.1104 eV per atom
Uncorrected formation energy: -57 kJ per mole of atoms
SG: Fm-3m
Total moment: 1.4 μB/f.u.

a b c (Å): 4.8912 4.8912 4.8912
angles (deg): 60.00 60.00 60.00
Closest atoms and distances in Å follow each position.
Positions (direct):
La  0.2500  0.2500  0.2500  4 S 3.00, 4 B 3.00
La  0.7500  0.7500  0.7500  4 S 3.00, 4 B 3.00
B  0.0000  0.0000  0.0000  8 La 3.00
S  0.5000  0.5000  0.5000  8 La 3.00

---

Entry 3:
The following is a DFT calculation (PBEsol) of a relaxed structure of LaB3S.

Computed properties:
Energy: -5.2104 eV per atom
Uncorrected formation energy: 91 kJ per mole of atoms
SG: Pm-3m
Total moment: 0.0 μB/f.u.

a b c (Å): 4.0283 4.0283 4.0283
angles (deg): 90.00 90.00 90.00
Closest atoms and distances in Å follow each position.
Positions (direct):
La  0.0000  0.0000  0.0000  12 B 2.85
B  0.0000  0.5000  0.5000  2 S 2.01
B  0.5000  0.0000  0.5000  2 S 2.01
B  0.5000  0.5000  0.0000  2 S 2.01
S  0.5000  0.5000  0.5000  6 B 2.01

---

Entry 4:
The following is a DFT calculation (PBEsol) of a relaxed structure of LaSc2BS.

Computed properties:
Energy: -4.7841 eV per atom
Uncorrected formation energy: 116 kJ per mole of atoms
SG: P4/mmm
Total moment: 0.0 μB/f.u.

a b c (Å): 5.2528 5.2528 4.2359
angles (deg): 90.00 90.00 90.00
Closest atoms and distances in Å follow each position.
Positions (direct):
La  0.0000  0.0000  0.0000  2 B 2.12
Sc  0.0000  0.5000  0.0000  2 La 2.63
Sc  0.5000  0.0000  0.0000  2 La 2.63
B  0.0000  0.0000  0.5000  2 La 2.12
S  0.5000  0.5000  0.5000  8 Sc 3.37, 4 B 3.71

---

Entry 5:
The following is a DFT calculation (PBEsol) of a relaxed structure of LaBSb3.

Computed properties:
Energy: -3.6145 eV per atom
Uncorrected formation energy: 154 kJ per mole of atoms
SG: Pm-3m
Total moment: 0.0 μB/f.u.

a b c (Å): 5.9123 5.9123 5.9123
angles (deg): 90.00 90.00 90.00
Closest atoms and distances in Å follow each position.
Positions (direct):
La  0.0000  0.0000  0.0000  6 Sb 2.96
B  0.5000  0.5000  0.5000  12 Sb 4.18
Sb  0.0000  0.0000  0.5000  2 La 2.96
Sb  0.0000  0.5000  0.0000  2 La 2.96
Sb  0.5000  0.0000  0.0000  2 La 2.96

---

Entry 6:
The following is a DFT calculation (PBEsol) of a relaxed structure of LaB3Se.

Computed properties:
Energy: -3.5663 eV per atom
Uncorrected formation energy: 240 kJ per mole of atoms
SG: Pm-3m
Total moment: 0.0 μB/f.u.

a b c (Å): 4.7888 4.7888 4.7888
angles (deg): 90.00 90.00 90.00
Closest atoms and distances in Å follow each position.
Positions (direct):
La  0.0000  0.0000  0.0000  6 B 2.39
B  0.0000  0.0000  0.5000  2 La 2.39
B  0.0000  0.5000  0.0000  2 La 2.39
B  0.5000  0.0000  0.0000  2 La 2.39
Se  0.5000  0.5000  0.5000  12 B 3.39

---

Entry 7:
The following is a DFT calculation (PBEsol) of a relaxed structure of La2BSe.

Computed properties:
Energy: -5.9768 eV per atom
Uncorrected formation energy: -57 kJ per mole of atoms
SG: I-42d
Total moment: 0.0 μB/f.u.

a b c (Å): 6.4374 6.4374 6.4374
angles (deg): 110.49 110.49 107.46
Closest atoms and distances in Å follow each position.
Positions (direct):
La  0.0791  0.6250  0.9541  2 B 2.55
La  0.3750  0.3291  0.4541  2 B 2.55
La  0.6709  0.1250  0.0459  2 B 2.55
La  0.8750  0.9209  0.5459  2 B 2.55
B  0.0000  0.0000  0.0000  4 La 2.55
B  0.7500  0.2500  0.5000  4 La 2.55
Se  0.2500  0.7500  0.5000  4 La 3.00
Se  0.5000  0.5000  0.0000  4 La 3.00

---

Entry 8:
The following is a DFT calculation (PBEsol) of a relaxed structure of LaSiB3.

Computed properties:
Energy: -3.8582 eV per atom
Uncorrected formation energy: 248 kJ per mole of atoms
SG: Pm-3m
Total moment: 0.0 μB/f.u.

a b c (Å): 4.6482 4.6482 4.6482
angles (deg): 90.00 90.00 90.00
Closest atoms and distances in Å follow each position.
Positions (direct):
La  0.0000  0.0000  0.0000  6 B 2.32
Si  0.5000  0.5000  0.5000  12 B 3.29
B  0.0000  0.0000  0.5000  2 La 2.32
B  0.0000  0.5000  0.0000  2 La 2.32
B  0.5000  0.0000  0.0000  2 La 2.32